4
Lattice="1.586 0.916 11.545 -1.586 0.916 11.545 0.000 -1.832 11.545" Properties=species:S:1:pos:R:3 comment="InMoCl2 GGA-PBE optimized geometry" mass_density_g_cm3=4.648 e_form_raw_mev_per_atom=-237 sg=R-3m polymorph_energy_ev_per_atom=0.112 pbc="T T T"
In 0.000 0.000 0.000
Mo 0.000 0.000 17.318
Cl 0.000 0.000 4.075
Cl 0.000 0.000 30.560